(1)
Below is an optimized crystal structure of GdHfN, with properties calculated at the PBE-GGA level.

Lattice parameters (Å, degrees): 5.703 3.346 3.346 120.00 90.00 90.00
Element x y z (fractional)
Gd 0.756 0.667 0.333
Hf 0.219 0.333 0.667
N 0.025 0.000 0.000

Its space group is P3m1. The calculation puts the total energy at -11.815 eV per atom. Its formation energy from raw total energies is -298 kJ/mol of formula units.

=====

(2)
Below is an optimized crystal structure of BaZrTc, with properties calculated at the PBE-GGA level.

Lattice parameters (Å, degrees): 4.781 4.781 4.781 60.00 60.00 60.00
Element x y z (fractional)
Ba 0.750 0.750 0.750
Tc 0.000 0.000 0.000
Zr 0.500 0.500 0.500

The energy above the lowest structure with this stoichiometry is 1.483 eV/atom. Its space group is F-43m. The calculation puts the total energy at -5.102 eV per atom.

=====

(3)
Below is an optimized crystal structure of LiGaCoMo, with properties calculated at the PBE-GGA level.

Lattice parameters (Å, degrees): 4.152 4.152 4.152 60.00 60.00 60.00
Element x y z (fractional)
Mo 0.750 0.750 0.750
Co 0.500 0.500 0.500
Ga 0.250 0.250 0.250
Li 0.000 0.000 0.000

Its space group is F-43m. The calculation puts the total energy at -5.755 eV per atom.

=====

(4)
Below is an optimized crystal structure of Mg2AlAs, with properties calculated at the PBE-GGA level.

Lattice parameters (Å, degrees): 5.188 5.188 5.188 130.90 130.90 71.97
Element x y z (fractional)
Al 0.250 0.750 0.500
As 0.750 0.250 0.500
Mg 0.000 0.000 0.000
Mg 0.500 0.500 0.000

The energy above the lowest structure with this stoichiometry is 0.012 eV/atom. Its space group is I4/mmm. The calculation puts the total energy at -3.004 eV per atom.

=====

(5)
Below is an optimized crystal structure of LiAl2Se, with properties calculated at the PBE-GGA level.

Lattice parameters (Å, degrees): 5.187 5.187 5.187 133.25 133.25 68.27
Element x y z (fractional)
Al 0.000 0.000 0.000
Al 0.250 0.750 0.500
Li 0.500 0.500 0.000
Se 0.750 0.250 0.500

Its space group is I-4m2. The calculation puts the total energy at -3.368 eV per atom. Its formation energy from raw total energies is -57 kJ/mol of formula units.

=====

(6)
Below is an optimized crystal structure of Bi3SbSe3, with properties calculated at the PBE-GGA level.

Lattice parameters (Å, degrees): 4.287 8.937 12.345 87.57 90.00 90.00
Element x y z (fractional)
Bi 0.250 0.401 0.643
Bi 0.750 0.599 0.357
Bi 0.250 0.883 0.653
Bi 0.750 0.117 0.347
Bi 0.250 0.862 0.127
Bi 0.750 0.138 0.873
Sb 0.250 0.879 0.383
Sb 0.750 0.121 0.617
Se 0.250 0.384 0.378
Se 0.750 0.616 0.622
Se 0.250 0.902 0.880
Se 0.750 0.098 0.120
Se 0.250 0.365 0.865
Se 0.750 0.635 0.135

Its space group is P2_1/m. The calculation puts the total energy at -3.971 eV per atom. Its formation energy from raw total energies is -152 kJ/mol of formula units.

=====

(7)
Below is an optimized crystal structure of SmSnH, with properties calculated at the PBE-GGA level.

Lattice parameters (Å, degrees): 3.279 3.279 6.201 105.33 105.33 90.00
Element x y z (fractional)
H 0.269 0.269 0.538
Sn 0.007 0.007 0.013
Sm 0.724 0.724 0.449

The energy above the lowest structure with this stoichiometry is 0.289 eV/atom. Its space group is I4mm. The calculation puts the total energy at -4.377 eV per atom.

=====

(8)
Below is an optimized crystal structure of Cs2SCl4, with properties calculated at the PBE-GGA level.

Lattice parameters (Å, degrees): 7.612 7.612 7.196 121.93 121.93 90.00
Element x y z (fractional)
Cs 0.750 0.250 0.500
Cs 0.250 0.750 0.500
S 0.500 0.500 0.000
Cl 0.721 0.279 0.000
Cl 0.279 0.721 0.000
Cl 0.721 0.721 0.000
Cl 0.279 0.279 0.000

Its space group is I4/mmm. The calculation puts the total energy at -3.074 eV per atom. Its formation energy from raw total energies is -800 kJ/mol of formula units.

=====

(9)
Below is an optimized crystal structure of SiSnTe2N, with properties calculated at the PBE-GGA level.

Lattice parameters (Å, degrees): 5.806 5.806 3.946 90.00 90.00 90.00
Element x y z (fractional)
Si 0.500 0.500 0.500
Te 0.000 0.500 0.000
Te 0.500 0.000 0.000
Sn 0.000 0.000 0.000
N 0.000 0.000 0.500

The energy above the lowest structure with this stoichiometry is 0.904 eV/atom. Its space group is P4/mmm. The calculation puts the total energy at -3.776 eV per atom. Its formation energy from raw total energies is 498 kJ/mol of formula units.

=====

(10)
Below is an optimized crystal structure of SrCuGeC2, with properties calculated at the PBE-GGA level.

Lattice parameters (Å, degrees): 4.639 5.849 4.639 90.00 90.00 90.00
Element x y z (fractional)
Sr 0.000 0.000 0.000
Ge 0.000 0.500 0.000
C 0.000 0.000 0.500
C 0.500 0.000 0.000
Cu 0.500 0.500 0.500

Its space group is P4/mmm. The calculation puts the total energy at -2.820 eV per atom.

=====

(11)
Below is an optimized crystal structure of Ba2HfTaIr, with properties calculated at the PBE-GGA level.

Lattice parameters (Å, degrees): 6.103 4.734 6.103 90.00 90.00 90.00
Element x y z (fractional)
Ir 0.000 0.500 0.000
Hf 0.500 0.500 0.500
Ba 0.000 0.000 0.500
Ba 0.500 0.000 0.000
Ta 0.000 0.000 0.000

Its space group is P4/mmm. The calculation puts the total energy at -5.521 eV per atom.

=====

(12)
Below is an optimized crystal structure of Li3Ga2Cu2Au4, with properties calculated at the PBE-GGA level.

Lattice parameters (Å, degrees): 4.432 4.432 10.430 90.00 90.00 120.00
Element x y z (fractional)
Li 0.000 0.000 0.656
Li 0.000 0.000 0.000
Li 0.000 0.000 0.344
Ga 0.667 0.333 0.823
Ga 0.333 0.667 0.177
Cu 0.667 0.333 0.325
Cu 0.333 0.667 0.675
Au 0.667 0.333 0.082
Au 0.333 0.667 0.918
Au 0.667 0.333 0.575
Au 0.333 0.667 0.425

Its space group is P-3m1. The calculation puts the total energy at -3.311 eV per atom.

=====

(13)
Below is an optimized crystal structure of Sc2InW, with properties calculated at the PBE-GGA level.

Lattice parameters (Å, degrees): 3.635 3.635 6.229 90.00 90.00 90.00
Element x y z (fractional)
In 0.500 0.500 0.739
Sc 0.000 0.000 0.000
Sc 0.500 0.500 0.281
W 0.000 0.000 0.480

Its space group is P4mm. The calculation puts the total energy at -6.910 eV per atom.